# 1
A plane-wave DFT calculation with PBE was carried out for an optimized crystal structure of LiTbScSi.

VASP energy	-4.9558	eV per atom
formation energy from raw total energies	-0.381	eV per atom

a b c (Å): 4.8247 4.8247 4.8247
angles (deg): 60.00 60.00 60.00
Last column: nearest neighbours and their distance in Å.
Positions (direct):
Li 0.2500 0.2500 0.2500  4 Tb 2.95, 4 Sc 2.95
Sc 0.5000 0.5000 0.5000  4 Si 2.95, 4 Li 2.95
Tb 0.0000 0.0000 0.0000  4 Li 2.95, 4 Si 2.95
Si 0.7500 0.7500 0.7500  4 Tb 2.95, 4 Sc 2.95

=====

# 2
A plane-wave DFT calculation with PBE was carried out for an optimized crystal structure of Pa6AlZn2.

VASP energy	-7.0246	eV per atom
ΔE_f	0.0049	eV per atom

a b c (Å): 3.0812 8.6438 8.6438
angles (deg): 120.00 90.00 90.00
Last column: nearest neighbours and their distance in Å.
Positions (direct):
Pa 0.5000 0.7029 0.0000  2 Al 2.99, 2 Zn 3.05, 8 Pa 3.08-3.32
Pa 0.0000 0.6291 0.6291  8 Pa 3.08-3.32, 4 Zn 3.14, 1 Al 3.21
Pa 0.5000 0.0000 0.7029  2 Al 2.99, 2 Zn 3.05, 8 Pa 3.08-3.32
Pa 0.5000 0.2971 0.2971  2 Al 2.99, 2 Zn 3.05, 8 Pa 3.08-3.32
Pa 0.0000 0.3709 0.0000  8 Pa 3.08-3.32, 4 Zn 3.14, 1 Al 3.21
Pa 0.0000 0.0000 0.3709  8 Pa 3.08-3.32, 4 Zn 3.14, 1 Al 3.21
Al 0.0000 0.0000 0.0000  9 Pa 2.99-3.21, 2 Al 3.08
Zn 0.5000 0.6667 0.3333  9 Pa 3.05-3.14, 2 Zn 3.08
Zn 0.5000 0.3333 0.6667  9 Pa 3.05-3.14, 2 Zn 3.08

=====

# 3
A plane-wave DFT calculation with PBE was carried out for an optimized crystal structure of MnTlHg2.

VASP energy	-2.7802	eV per atom
ΔE_f	0.2546	eV per atom

a b c (Å): 6.5509 6.5509 6.5509
angles (deg): 151.51 135.35 53.82
Last column: nearest neighbours and their distance in Å.
Positions (direct):
Hg 0.9518 0.9518 0.0000  2 Mn 2.86, 4 Hg 3.17
Hg 0.5482 0.5482 0.0000  2 Mn 2.86, 4 Hg 3.17
Mn 0.7500 0.2500 0.5000  4 Hg 2.86, 4 Tl 2.96
Tl 0.2500 0.7500 0.5000  4 Mn 2.96, 2 Tl 3.22

=====

# 4
A plane-wave DFT calculation with PBE was carried out for an optimized crystal structure of CaTiPtO6.

VASP energy	-6.8794	eV per atom
formation energy from raw total energies	-1.803	eV per atom

a b c (Å): 5.2092 5.2092 10.1178
angles (deg): 90.00 90.00 120.00
Last column: nearest neighbours and their distance in Å.
Positions (direct):
Ti 0.3333 0.6667 0.7500  6 O 1.98
Ti 0.6667 0.3333 0.2500  6 O 1.98
O 0.0009 0.3631 0.6445  1 Ti 1.98, 1 Pt 1.98
O 0.6369 0.9991 0.8555  1 Ti 1.98, 1 Pt 1.98
O 0.6378 0.0009 0.3555  1 Ti 1.98, 1 Pt 1.98
O 0.9991 0.6369 0.3555  1 Ti 1.98, 1 Pt 1.98
O 0.6378 0.6369 0.1445  1 Ti 1.98, 1 Pt 1.98
O 0.3631 0.0009 0.1445  1 Ti 1.98, 1 Pt 1.98
O 0.9991 0.3622 0.1445  1 Ti 1.98, 1 Pt 1.98
O 0.3631 0.3622 0.3555  1 Ti 1.98, 1 Pt 1.98
O 0.0009 0.6378 0.8555  1 Ti 1.98, 1 Pt 1.98
O 0.3622 0.9991 0.6445  1 Ti 1.98, 1 Pt 1.98
O 0.3622 0.3631 0.8555  1 Ti 1.98, 1 Pt 1.98
O 0.6369 0.6378 0.6445  1 Ti 1.98, 1 Pt 1.98
Pt 0.3333 0.6667 0.2500  6 O 1.98
Pt 0.6667 0.3333 0.7500  6 O 1.98
Ca 0.0000 0.0000 0.5000  6 O 2.39
Ca 0.0000 0.0000 0.0000  6 O 2.39

=====

# 5
A plane-wave DFT calculation with PBE was carried out for an optimized crystal structure of La2Tb3Y4.

VASP energy	-5.4426	eV per atom
ΔE_f	0.0688	eV per atom

a b c (Å): 3.5507 6.1916 16.3159
angles (deg): 61.82 83.75 73.34
Last column: nearest neighbours and their distance in Å.
Positions (direct):
Tb 0.4294 0.3521 0.7892  6 Y 3.54-3.61, 4 Tb 3.55, 2 La 3.68
Tb 0.0000 0.0000 0.0000  6 Tb 3.55, 6 Y 3.56-3.60
Tb 0.5706 0.6479 0.2108  6 Y 3.54-3.61, 4 Tb 3.55, 2 La 3.68
Y 0.2849 0.3230 0.1071  6 Y 3.55-3.59, 6 Tb 3.55-3.60
Y 0.1462 0.0261 0.6816  3 Tb 3.54-3.61, 4 Y 3.55, 4 La 3.58-3.67
Y 0.7151 0.6770 0.8929  6 Y 3.55-3.59, 6 Tb 3.55-3.60
Y 0.8538 0.9739 0.3184  3 Tb 3.54-3.61, 4 Y 3.55, 4 La 3.58-3.67
La 0.1366 0.2938 0.4330  5 La 3.55-3.95, 4 Y 3.58-3.67, 2 Tb 3.68
La 0.8634 0.7062 0.5670  5 La 3.55-3.95, 4 Y 3.58-3.67, 2 Tb 3.68

=====

# 6
A plane-wave DFT calculation with PBE was carried out for an optimized crystal structure of NbTeHPd.

VASP energy	-5.5376	eV per atom

a b c (Å): 6.5211 3.3163 5.7233
angles (deg): 90.00 90.25 90.00
Last column: nearest neighbours and their distance in Å.
Positions (direct):
Pd 0.1981 0.5000 0.9515  3 H 2.32-2.35
Pd 0.1981 0.0000 0.4515  3 H 2.32-2.35
Nb 0.5319 0.0000 0.1177  3 H 2.08
Nb 0.5319 0.5000 0.6177  3 H 2.08
H 0.4049 0.5000 0.2832  3 Nb 2.08, 1 Pd 2.32
H 0.4049 0.0000 0.7832  3 Nb 2.08, 1 Pd 2.32
Te 0.8485 0.5000 0.2861  3 Nb 2.81, 1 H 2.89, 3 Pd 2.97-2.98
Te 0.8485 0.0000 0.7861  3 Nb 2.81, 1 H 2.89, 3 Pd 2.97-2.98

=====

# 7
A plane-wave DFT calculation with PBE was carried out for an optimized crystal structure of La4Co2I5.

VASP energy	-4.7460	eV per atom
formation energy from raw total energies	-0.958	eV per atom

a b c (Å): 4.3609 9.4271 10.7146
angles (deg): 105.63 101.74 90.00
Last column: nearest neighbours and their distance in Å.
Positions (direct):
I 0.1759 0.3223 0.3517  4 La 3.36-3.53
I 0.1606 0.8459 0.3212  3 La 3.32-3.34
I 0.8241 0.6777 0.6483  4 La 3.36-3.53
I 0.8394 0.1541 0.6788  3 La 3.32-3.34
I 0.5000 0.0000 0.0000  4 La 3.47
La 0.9958 0.7108 0.9915  2 Co 2.88
La 0.0042 0.2892 0.0085  2 Co 2.88
La 0.3432 0.4215 0.6865  1 Co 2.17
La 0.6568 0.5785 0.3135  1 Co 2.17
Co 0.5497 0.4916 0.0994  1 Co 2.13, 1 La 2.17
Co 0.4503 0.5084 0.9006  1 Co 2.13, 1 La 2.17

=====

# 8
A plane-wave DFT calculation with PBE was carried out for an optimized crystal structure of Zn3SbC.

VASP energy	-2.8109	eV per atom
formation energy from raw total energies	0.623	eV per atom

a b c (Å): 4.3243 4.3243 4.3243
angles (deg): 90.00 90.00 90.00
Last column: nearest neighbours and their distance in Å.
Positions (direct):
Sb 0.5000 0.5000 0.5000  12 Zn 3.06
Zn 0.0000 0.5000 0.0000  2 C 2.16
Zn 0.0000 0.0000 0.5000  2 C 2.16
Zn 0.5000 0.0000 0.0000  2 C 2.16
C 0.0000 0.0000 0.0000  6 Zn 2.16